one:
This record from Alexandria via LeMat-Bulk describes crystalline NaIr2Os at its relaxed geometry. The functional is PBE.

a = 7.397 Å, b = 7.397 Å, c = 5.866 Å
α = 50.91°, β = 50.91°, γ = 90.00°
Fractional positions:
Ir 0.875 0.930 0.750
Ir 0.680 0.125 0.250
Ir 0.375 0.320 0.750
Os 0.000 0.000 0.000
Ir 0.070 0.625 0.250
Os 0.750 0.250 0.500
Na 0.500 0.500 0.000
Na 0.250 0.750 0.500

Output
Space-group type: I-42d
Density of states at the Fermi level, states/eV/cell: 8.1
Density, g/cm³: 13.66

***

two:
This record from Alexandria via LeMat-Bulk describes crystalline NaIr2Os at its relaxed geometry. The functional is PBE.

a = 4.410 Å, b = 4.410 Å, c = 4.410 Å
α = 60.00°, β = 60.00°, γ = 60.00°
Fractional positions:
Ir 0.250 0.250 0.250
Ir 0.750 0.750 0.750
Os 0.500 0.500 0.500
Na 0.000 0.000 0.000

Output
Space-group type: Fm-3m
Density of states at the Fermi level, states/eV/cell: 5.6
Density, g/cm³: 16.36

***

The structure with the most favorable energy is two; the runner-up is 0.152 eV/atom above it.

***

one:
This record from Alexandria via LeMat-Bulk describes crystalline Na2Ir2Os at its relaxed geometry. The functional is PBE.

a = 3.175 Å, b = 3.175 Å, c = 8.258 Å
α = 78.92°, β = 78.92°, γ = 90.00°
Fractional positions:
Ir 0.593 0.593 0.813
Os 0.000 0.000 0.000
Na 0.750 0.250 0.500
Na 0.250 0.750 0.500
Ir 0.407 0.407 0.187

Output
Space-group type: I4/mmm
Density of states at the Fermi level, states/eV/cell: 3.4
Density, g/cm³: 12.87

***

two:
This record from Alexandria via LeMat-Bulk describes crystalline Na2Ir2Os at its relaxed geometry. The functional is PBE.

a = 6.319 Å, b = 6.319 Å, c = 5.032 Å
α = 90.00°, β = 90.00°, γ = 90.00°
Fractional positions:
Na 0.179 0.679 0.500
Na 0.321 0.179 0.500
Ir 0.366 0.866 0.000
Ir 0.134 0.366 0.000
Na 0.821 0.321 0.500
Na 0.679 0.821 0.500
Os 0.000 0.000 0.000
Ir 0.866 0.634 0.000
Ir 0.634 0.134 0.000
Os 0.500 0.500 0.000

Output
Space-group type: P4/mbm
Density of states at the Fermi level, states/eV/cell: 7.5
Density, g/cm³: 10.26

***

The structure with the most favorable energy is two; the runner-up is 0.531 eV/atom above it.

***

one:
This record from Alexandria via LeMat-Bulk describes crystalline NaIr3Os at its relaxed geometry. The functional is PBE.

a = 4.353 Å, b = 4.353 Å, c = 4.353 Å
α = 90.00°, β = 90.00°, γ = 90.00°
Fractional positions:
Na 0.000 0.000 0.000
Os 0.500 0.500 0.500
Ir 0.000 0.000 0.500
Ir 0.500 0.000 0.000
Ir 0.000 0.500 0.000

Output
Space-group type: Pm-3m
Density of states at the Fermi level, states/eV/cell: 7.4
Density, g/cm³: 15.90

***

two:
This record from Alexandria via LeMat-Bulk describes crystalline NaIr3Os at its relaxed geometry. The functional is PBE.

a = 4.787 Å, b = 4.787 Å, c = 4.787 Å
α = 90.00°, β = 90.00°, γ = 90.00°
Fractional positions:
Na 0.500 0.500 0.500
Ir 0.500 0.000 0.000
Ir 0.000 0.000 0.500
Ir 0.000 0.500 0.000
Os 0.000 0.000 0.000

Output
Space-group type: Pm-3m
Density of states at the Fermi level, states/eV/cell: 4.4
Density, g/cm³: 11.96

***

The structure with the most favorable energy is two; the runner-up is 1.198 eV/atom above it.

***

one:
This record from Alexandria via LeMat-Bulk describes crystalline NaTcP2Ir at its relaxed geometry. The functional is PBE.

a = 4.520 Å, b = 4.435 Å, c = 4.520 Å
α = 90.00°, β = 90.00°, γ = 90.00°
Fractional positions:
P 0.500 0.000 0.000
Tc 0.500 0.500 0.500
Na 0.000 0.000 0.000
Ir 0.000 0.500 0.000
P 0.000 0.000 0.500

Output
Space-group type: P4/mmm
Density of states at the Fermi level, states/eV/cell: 7.8
Density, g/cm³: 6.88

***

two:
This record from Alexandria via LeMat-Bulk describes crystalline NaTcP2Ir at its relaxed geometry. The functional is PBE.

a = 4.104 Å, b = 4.104 Å, c = 5.605 Å
α = 111.48°, β = 111.48°, γ = 90.00°
Fractional positions:
Tc 0.750 0.250 0.500
P 0.371 0.371 0.742
P 0.629 0.629 0.258
Na 0.000 0.000 0.000
Ir 0.250 0.750 0.500

Output
Space-group type: I-4m2
Density of states at the Fermi level, states/eV/cell: 2.7
Density, g/cm³: 7.71

***

The structure with the most favorable energy is two; the runner-up is 2.773 eV/atom above it.